Crystalline Tc3AsRu at its relaxed geometry, computed with PBE-GGA.

## Properties
* ρ: 7.78 g cm⁻³
* energy above the lowest structure with this stoichiometry: 374 meV per atom
* magnetic moment: 1.27 μB per cell
* DFT formation energy: 843 kJ/mol of formula units

Unit cell a=4.647 b=4.647 c=4.647 alpha=90.00 beta=90.00 gamma=90.00
Sites, in units of the cell vectors:
Tc: 0.000 0.000 0.500
Tc: 0.000 0.500 0.000
Tc: 0.500 0.000 0.000
As: 0.500 0.500 0.500
Ru: 0.000 0.000 0.000